HgAs2Ir: optimized geometry, GGA-PBE.

abc: 6.5499 4.8504 3.2824
angles: 90.09 59.78 120.32
Last column: nearest neighbours and their distance in Å.
Element x y z (fractional)
As  0.0000  0.0000  0.0000  2 As 2.83, 4 Hg 2.93, 4 Ir 2.93
As  0.5000  0.0000  0.5000  2 As 2.83, 4 Ir 2.93, 4 Hg 2.93
Ir  0.5000  0.5000  0.0000  2 Hg 2.83, 8 As 2.93
Hg  0.0000  0.5000  0.5000  2 Ir 2.83, 8 As 2.93

Energy: -4.145 eV per atom
Total moment: 0.000 μB/f.u.
Mass density: 12.313 g cm⁻³